[1]
DFT (PBE) results for crystalline Ba2Mg12CdHg3 at its relaxed geometry.

Output
ΔH_f (0 K)	156	meV per atom
space-group type	R-3m
final energy	-22.00	eV per cell

Unit cell a=9.075 b=9.075 c=9.075 alpha=65.88 beta=65.88 gamma=65.88
Sites, in units of the cell vectors:
Ba (0.105, 0.105, 0.105)
Ba (0.895, 0.895, 0.895)
Mg (0.142, 0.624, 0.624)
Mg (0.160, 0.160, 0.553)
Mg (0.160, 0.553, 0.160)
Mg (0.376, 0.376, 0.858)
Mg (0.376, 0.858, 0.376)
Mg (0.447, 0.840, 0.840)
Mg (0.553, 0.160, 0.160)
Mg (0.624, 0.142, 0.624)
Mg (0.624, 0.624, 0.142)
Mg (0.840, 0.447, 0.840)
Mg (0.840, 0.840, 0.447)
Mg (0.858, 0.376, 0.376)
Cd (0.500, 0.500, 0.500)
Hg (0.000, 0.500, 0.500)
Hg (0.500, 0.000, 0.500)
Hg (0.500, 0.500, 0.000)

---

[2]
DFT (PBE) results for crystalline Ba2MgCd3Hg4 at its relaxed geometry.

Output
ΔH_f (0 K)	-339	meV per atom
space-group type	P-4m2
final energy	-12.78	eV per cell

Unit cell a=4.754 b=4.754 c=12.992 alpha=90.00 beta=90.00 gamma=90.00
Sites, in units of the cell vectors:
Ba (0.000, 0.500, 0.247)
Ba (0.500, 0.000, 0.753)
Mg (0.000, 0.000, 0.500)
Cd (0.000, 0.500, 0.862)
Cd (0.500, 0.000, 0.138)
Cd (0.500, 0.500, 0.500)
Hg (0.000, 0.000, 0.000)
Hg (0.000, 0.500, 0.637)
Hg (0.500, 0.000, 0.363)
Hg (0.500, 0.500, 0.000)

---

[3]
DFT (PBE) results for crystalline Ba2NaCd3Hg4 at its relaxed geometry.

Output
ΔH_f (0 K)	-314	meV per atom
space-group type	P-4m2
final energy	-12.26	eV per cell

Unit cell a=4.977 b=4.977 c=12.305 alpha=90.00 beta=90.00 gamma=90.00
Sites, in units of the cell vectors:
Ba (0.000, 0.500, 0.235)
Ba (0.500, 0.000, 0.765)
Na (0.000, 0.000, 0.500)
Cd (0.000, 0.500, 0.872)
Cd (0.500, 0.000, 0.128)
Cd (0.500, 0.500, 0.500)
Hg (0.000, 0.000, 0.000)
Hg (0.000, 0.500, 0.638)
Hg (0.500, 0.000, 0.362)
Hg (0.500, 0.500, 0.000)